K2Ge2Pt | Alexandria | PBE | optimized geometry; crystal system = tetragonal; total magnetic moment = 0.0 Bohr magnetons per cell; ΔE_f = -259.4 meV/atom
1.0
6.602 0.000 0.000
0.000 6.602 0.000
0.000 0.000 5.603
Pt K Ge
2 4 4
Direct
0.500 0.500 0.000 Pt
0.000 0.000 0.000 Pt
0.812 0.312 0.500 K
0.312 0.188 0.500 K
0.688 0.812 0.500 K
0.188 0.688 0.500 K
0.633 0.133 0.000 Ge
0.367 0.867 0.000 Ge
0.867 0.633 0.000 Ge
0.133 0.367 0.000 Ge